Entry 1:
First-principles (PBE) data for crystalline Rb2PuSbTe4 at its relaxed geometry, as listed in Alexandria via LeMat-Bulk.

```
Rb2PuSbTe4
1.0
4.5844 0.0000 0.0000
0.0000 8.0318 0.1587
0.0000 -2.7993 8.4234
Pu Te Rb Sb
1 4 2 1
Cartesian
2.2922 4.0159 0.0794
2.2922 3.9413 6.8858
2.2922 1.2912 1.6964
0.0000 5.3495 1.7761
0.0000 -0.1171 6.8061
2.2922 -1.3997 4.2117
0.0000 2.6162 4.2911
0.0000 0.0000 0.0000
```

Total magnetization, μB/f.u.: 5.0
Energy relative to the elements, uncorrected, eV/f.u.: -6.4
Space group: P2/m, No. 10
Crystal system: monoclinic

=====

Entry 2:
First-principles (PBE) data for crystalline Rb3PuSb2Te6 at its relaxed geometry, as listed in Alexandria via LeMat-Bulk.

```
Rb3PuSb2Te6
1.0
7.9694 -0.0031 -0.0005
-3.9855 6.9012 -0.0005
-1.3294 -2.3018 8.5043
Rb Te Pu Sb
3 6 1 2
Cartesian
5.3130 -0.0038 4.2516
1.3273 2.2981 4.2516
-2.6585 4.6001 4.2516
2.6923 -0.0026 1.6713
-1.3478 2.3307 1.6713
0.0163 0.0283 6.8293
2.6382 4.5680 1.6739
-0.0378 4.5989 6.8319
4.0023 2.2656 6.8319
0.0000 0.0000 0.0000
3.9829 2.2992 -0.0005
0.0010 4.5989 -0.0005
```

Total magnetization, μB/f.u.: 5.0
Energy relative to the elements, uncorrected, eV/f.u.: -8.3
Space group: C2/m, No. 12
Crystal system: monoclinic